Crystalline Zn2TcPt at its relaxed geometry. Source: Alexandria via LeMat-Bulk, functional GGA-PBE.

Calculated values
DFT total energy	-19.35	eV for the cell shown
DFT formation energy	-0.100	eV per atom
total magnetic moment	0.0	μB per formula unit
energy relative to the lowest polymorph listed for this composition	41	meV/atom

a = 2.6785 Å, b = 4.3263 Å, c = 5.1001 Å
α = 90.00°, β = 92.95°, γ = 90.00°
With the nearest neighbours (Å) after each atom.
Space group P2/m (No. 10)
Inequivalent atoms, fractional coordinates:
1 Zn 0.1586 0.0000 0.2386 [2 per cell]  4 Zn 2.54-2.84, 2 Pt 2.59, 2 Tc 2.67
2 Tc 0.5000 0.5000 0.0000 [1 per cell]  4 Zn 2.67, 2 Tc 2.68, 4 Pt 2.82-2.94
3 Pt 0.0000 0.5000 0.5000 [1 per cell]  4 Zn 2.59, 2 Pt 2.68, 2 Tc 2.82